one:
The following is a PBEsol calculation of an optimized crystal structure of Tc2TeP, from the Alexandria database.

**Spin magnetization**: 0.00 μB per cell

The structure in CIF format:
```
data_Tc2TeP
_chemical_formula_sum 'Tc2 Te1 P1'
_space_group_name_H-M_alt 'P 1 2/m 1'
_space_group_IT_number 10
_space_group_name_Hall '-P 2y'
_cell_length_a 3.096
_cell_length_b 3.552
_cell_length_c 6.100
_cell_angle_alpha 90.00
_cell_angle_beta 104.34
_cell_angle_gamma 90.00
loop_
_atom_site_label
_atom_site_type_symbol
_atom_site_fract_x
_atom_site_fract_y
_atom_site_fract_z
_atom_site_occupancy
Tc1 Tc 0.153 0.000 0.300 1
Te1 Te 0.500 0.500 0.000 1
P1 P 0.000 0.500 0.500 1
```

two:
The following is a PBEsol calculation of an optimized crystal structure of Tc2TeP, from the Alexandria database.

**Spin magnetization**: 0.00 μB per cell

The structure in CIF format:
```
data_Tc2TeP
_chemical_formula_sum 'Tc4 Te2 P2'
_space_group_name_H-M_alt 'I -4 m 2'
_space_group_IT_number 119
_space_group_name_Hall 'I -4 -2'
_cell_length_a 4.002
_cell_length_b 4.002
_cell_length_c 7.750
_cell_angle_alpha 90.00
_cell_angle_beta 90.00
_cell_angle_gamma 90.00
loop_
_atom_site_label
_atom_site_type_symbol
_atom_site_fract_x
_atom_site_fract_y
_atom_site_fract_z
_atom_site_occupancy
Tc1 Tc 0.000 0.000 0.000 1
Tc2 Tc 0.000 0.500 0.250 1
Te1 Te 0.000 0.000 0.500 1
P1 P 0.000 0.500 0.750 1
```

Structures ranked by computed energy, the most stable listed first: one, two.

one:
The following is a PBEsol calculation of an optimized crystal structure of ZnTcP, from the Alexandria database.

**Spin magnetization**: 0.00 μB per cell

The structure in CIF format:
```
data_ZnTcP
_chemical_formula_sum 'Zn2 Tc2 P2'
_space_group_name_H-M_alt 'I 4 m m'
_space_group_IT_number 107
_space_group_name_Hall 'I 4 -2'
_cell_length_a 3.051
_cell_length_b 3.051
_cell_length_c 8.478
_cell_angle_alpha 90.00
_cell_angle_beta 90.00
_cell_angle_gamma 90.00
loop_
_atom_site_label
_atom_site_type_symbol
_atom_site_fract_x
_atom_site_fract_y
_atom_site_fract_z
_atom_site_occupancy
Zn1 Zn 0.000 0.000 0.000 1
Tc1 Tc 0.000 0.000 0.309 1
P1 P 0.000 0.000 0.682 1
```

two:
The following is a PBEsol calculation of an optimized crystal structure of ZnTcP, from the Alexandria database.

**Spin magnetization**: 1.20 μB per cell

The structure in CIF format:
```
data_ZnTcP
_chemical_formula_sum 'Zn4 Tc4 P4'
_space_group_name_H-M_alt 'F -4 3 m'
_space_group_IT_number 216
_space_group_name_Hall 'F -4 2 3'
_cell_length_a 5.668
_cell_length_b 5.668
_cell_length_c 5.668
_cell_angle_alpha 90.00
_cell_angle_beta 90.00
_cell_angle_gamma 90.00
loop_
_atom_site_label
_atom_site_type_symbol
_atom_site_fract_x
_atom_site_fract_y
_atom_site_fract_z
_atom_site_occupancy
Zn1 Zn 0.000 0.000 0.000 1
Tc1 Tc 0.250 0.250 0.750 1
P1 P 0.250 0.250 0.250 1
```

Structures ranked by computed energy, the most stable listed first: one, two.